First-principles (PBE) data for NdLuTlGe after structural relaxation, as listed in Alexandria via LeMat-Bulk.

Lattice parameters (Å, degrees): 5.263 5.263 5.263 60.00 60.00 60.00
Atoms (fractional coordinates):
Nd 0.500 0.500 0.500
Lu 0.000 0.000 0.000
Ge 0.750 0.750 0.750
Tl 0.250 0.250 0.250

Properties
Formation enthalpy at 0 K   -0.394 eV per atom
Space-group type   No. 216
Fermi-level density of states   0.852 states/eV/atom